# BeNiI2O, optimized geometry, DFT PBE+U
data_BeNiI2O
_space_group_name_H-M_alt 'P 4/m m m'
_space_group_IT_number 123
_space_group_name_Hall '-P 4 2'
_cell_length_a 5.4287
_cell_length_b 5.4287
_cell_length_c 3.6285
_cell_angle_alpha 90.00
_cell_angle_beta 90.00
_cell_angle_gamma 90.00
loop_
_atom_site_label
_atom_site_type_symbol
_atom_site_fract_x
_atom_site_fract_y
_atom_site_fract_z
Be1 Be 0.0000 0.0000 0.0000
Ni1 Ni 0.5000 0.5000 0.5000
I1 I 0.0000 0.5000 0.5000
O1 O 0.5000 0.5000 0.0000
# * ΔE to the lowest computed polymorph: 890.3 meV/atom
# * total energy: -2.38 eV/atom
# * Fermi-level density of states: 0.641 states/eV per atom